{"formula": "CaAgGePd", "functional": "GGA-PBE", "state": "optimized geometry", "lattice_angstrom": [[-3.5191, -0.2600, 3.2107], [-1.7425, -4.2496, 1.2905], [0.8762, -1.7113, 4.3663]], "species": ["Ge", "Ca", "Pd", "Ag"], "frac_coords": [[0.2500, 0.2500, 0.2500], [0.7500, 0.7500, 0.7500], [0.0000, 0.0000, 0.0000], [0.5000, 0.5000, 0.5000]], "crystal_system": "cubic", "formation_energy_ev_per_atom": -0.361, "spacegroup": "F-43m", "dos_ef_per_ev_cell": 2.4}